A geometry-optimized LiAl3Zn structure, computed with PBE.

a = 4.826 Å, b = 4.826 Å, c = 4.826 Å
α = 90.00°, β = 90.00°, γ = 90.00°
Fractional coordinates of all 5 atoms:
Li (0.000, 0.000, 0.000)
Al (0.000, 0.500, 0.500)
Al (0.500, 0.000, 0.500)
Al (0.500, 0.500, 0.000)
Zn (0.500, 0.500, 0.500)

Calculated values
Space group: No. 221
Total magnetic moment in μB/atom: 0.000
Calculated formation energy in meV/atom: 454


A geometry-optimized ErHPb2 structure, computed with PBE.

a = 6.279 Å, b = 3.704 Å, c = 8.459 Å
α = 90.00°, β = 109.94°, γ = 90.00°
Fractional coordinates of all 8 atoms:
Er (0.000, 0.000, 0.000)
Er (0.500, 0.500, 0.000)
H (0.160, 0.500, 0.995)
H (0.660, 0.000, 0.995)
Pb (0.176, 0.000, 0.668)
Pb (0.471, 0.000, 0.331)
Pb (0.676, 0.500, 0.668)
Pb (0.971, 0.500, 0.331)

Calculated values
Space group: No. 8
Total magnetic moment in μB/atom: 0.000
Energy in Ry per atom: -0.299


A geometry-optimized CsNaBi2 structure, computed with PBE.

a = 5.935 Å, b = 13.105 Å, c = 8.296 Å
α = 90.00°, β = 90.00°, γ = 90.00°
Fractional coordinates of all 16 atoms:
Cs (0.000, 0.088, 0.250)
Cs (0.000, 0.912, 0.750)
Cs (0.500, 0.412, 0.750)
Cs (0.500, 0.588, 0.250)
Na (0.000, 0.199, 0.750)
Na (0.000, 0.801, 0.250)
Na (0.500, 0.301, 0.250)
Na (0.500, 0.699, 0.750)
Bi (0.000, 0.388, 0.060)
Bi (0.000, 0.388, 0.440)
Bi (0.000, 0.612, 0.560)
Bi (0.000, 0.612, 0.940)
Bi (0.500, 0.112, 0.560)
Bi (0.500, 0.112, 0.940)
Bi (0.500, 0.888, 0.060)
Bi (0.500, 0.888, 0.440)

Calculated values
Space group: No. 63
Total magnetic moment in μB/atom: 0.000
Calculated formation energy in meV/atom: -271